Entry 1:
This record from Alexandria via LeMat-Bulk describes an optimized crystal structure of LiBMo2Pd. The functional is GGA-PBE.

Cell and atoms, written as POSCAR:
```
LiBMo2Pd
1.0
4.187 0.000 0.000
0.000 4.187 0.000
0.000 0.000 3.986
Li B Mo Pd
1 1 2 1
direct
0.000 0.000 0.000
0.000 0.000 0.500
0.000 0.500 0.500
0.500 0.000 0.500
0.500 0.500 0.000
```

Summary:
**Symmetry**: P4/mmm (123)
**DFT formation energy**: 0.355 eV/atom
**Crystal system**: tetragonal

Entry 2:
This record from Alexandria via LeMat-Bulk describes an optimized crystal structure of Li2BMoPt. The functional is GGA-PBE.

Cell and atoms, written as POSCAR:
```
Li2BMoPt
1.0
4.203 0.000 0.000
0.000 4.203 0.000
0.000 0.000 4.928
Li B Mo Pt
2 1 1 1
direct
0.000 0.500 0.000
0.500 0.000 0.000
0.000 0.000 0.500
0.500 0.500 0.500
0.500 0.500 0.000
```

Summary:
**Symmetry**: P4/mmm (123)
**DFT formation energy**: 1.220 eV/atom
**Crystal system**: tetragonal

Entry 3:
This record from Alexandria via LeMat-Bulk describes an optimized crystal structure of Li2BMoSe. The functional is GGA-PBE.

Cell and atoms, written as POSCAR:
```
Li2BMoSe
1.0
3.949 0.000 0.000
0.000 3.949 0.000
0.000 0.000 4.445
Li B Mo Se
2 1 1 1
direct
0.000 0.500 0.000
0.500 0.000 0.000
0.000 0.000 0.000
0.500 0.500 0.500
0.000 0.000 0.500
```

Summary:
**Symmetry**: P4/mmm (123)
**Crystal system**: tetragonal
**E_tot**: -3.982 eV per atom

Entry 4:
This record from Alexandria via LeMat-Bulk describes an optimized crystal structure of LiSnBMo2. The functional is GGA-PBE.

Cell and atoms, written as POSCAR:
```
LiSnBMo2
1.0
4.470 0.000 0.000
0.000 4.470 0.000
0.000 0.000 3.599
Li Sn B Mo
1 1 1 2
direct
0.000 0.000 0.000
0.500 0.500 0.500
0.000 0.000 0.500
0.000 0.500 0.000
0.500 0.000 0.000
```

Summary:
**Symmetry**: P4/mmm (123)
**DFT formation energy**: 1.237 eV/atom
**Crystal system**: tetragonal

Entry 5:
This record from Alexandria via LeMat-Bulk describes an optimized crystal structure of LiTc2BMo. The functional is GGA-PBE.

Cell and atoms, written as POSCAR:
```
LiTc2BMo
1.0
4.744 0.000 0.000
0.000 4.744 0.000
0.000 0.000 4.278
Li Tc B Mo
1 2 1 1
direct
0.000 0.000 0.000
0.000 0.500 0.500
0.500 0.000 0.500
0.500 0.500 0.000
0.500 0.500 0.500
```

Summary:
**Symmetry**: P4/mmm (123)
**DFT formation energy**: 1.584 eV/atom
**Crystal system**: tetragonal

Entry 6:
This record from Alexandria via LeMat-Bulk describes an optimized crystal structure of LiZn2BMo. The functional is GGA-PBE.

Cell and atoms, written as POSCAR:
```
LiZn2BMo
1.0
4.073 0.000 0.000
0.000 4.073 0.000
0.000 0.000 3.832
Li Zn B Mo
1 2 1 1
direct
0.000 0.000 0.000
0.000 0.500 0.000
0.500 0.000 0.000
0.000 0.000 0.500
0.500 0.500 0.500
```

Summary:
**Symmetry**: P4/mmm (123)
**DFT formation energy**: 1.066 eV/atom
**Crystal system**: tetragonal

Entry 7:
This record from Alexandria via LeMat-Bulk describes an optimized crystal structure of LiB6N6. The functional is GGA-PBE.

Cell and atoms, written as POSCAR:
```
LiB6N6
1.0
4.508 0.000 0.000
0.000 4.508 0.000
0.000 0.000 4.508
Li B N
1 6 6
direct
0.000 0.000 0.000
0.000 0.246 0.500
0.000 0.754 0.500
0.246 0.500 0.000
0.500 0.000 0.246
0.500 0.000 0.754
0.754 0.500 0.000
0.000 0.500 0.250
0.000 0.500 0.750
0.250 0.000 0.500
0.500 0.250 0.000
0.500 0.750 0.000
0.750 0.000 0.500
```

Summary:
**Symmetry**: Pm-3 (200)
**Crystal system**: cubic
**E_tot**: -7.650 eV per atom

Entry 8:
This record from Alexandria via LeMat-Bulk describes an optimized crystal structure of Li2BN. The functional is GGA-PBE.

Cell and atoms, written as POSCAR:
```
Li2BN
1.0
5.150 0.000 0.000
0.000 5.150 0.000
0.000 0.000 5.150
Li B N
8 4 4
direct
0.250 0.250 0.250
0.250 0.250 0.750
0.250 0.750 0.250
0.250 0.750 0.750
0.750 0.250 0.250
0.750 0.250 0.750
0.750 0.750 0.250
0.750 0.750 0.750
0.000 0.000 0.000
0.000 0.500 0.500
0.500 0.000 0.500
0.500 0.500 0.000
0.000 0.000 0.500
0.000 0.500 0.000
0.500 0.000 0.000
0.500 0.500 0.500
```

Summary:
**Symmetry**: Fm-3m (225)
**Crystal system**: cubic
**E above lowest polymorph**: 0.000 eV per atom

Entry 9:
This record from Alexandria via LeMat-Bulk describes an optimized crystal structure of LiB2N2. The functional is GGA-PBE.

Cell and atoms, written as POSCAR:
```
LiB2N2
1.0
3.497 -3.480 0.000
3.497 3.480 0.000
-2.601 0.000 3.538
Li B N
2 4 4
direct
0.222 0.778 0.000
0.778 0.222 0.000
0.137 0.863 0.500
0.401 0.401 0.620
0.599 0.599 0.380
0.863 0.137 0.500
0.135 0.135 0.436
0.339 0.661 0.500
0.661 0.339 0.500
0.865 0.865 0.564
```

Summary:
**Symmetry**: C2/m (12)
**Crystal system**: monoclinic
**E_tot**: -7.034 eV per atom

Entry 10:
This record from Alexandria via LeMat-Bulk describes an optimized crystal structure of LiBN2. The functional is GGA-PBE.

Cell and atoms, written as POSCAR:
```
LiBN2
1.0
3.868 0.000 0.000
0.000 3.868 0.000
0.000 0.000 8.854
Li B N
4 4 8
direct
0.000 0.000 0.000
0.000 0.500 0.250
0.500 0.000 0.750
0.500 0.500 0.500
0.000 0.000 0.500
0.000 0.500 0.750
0.500 0.000 0.250
0.500 0.500 0.000
0.091 0.250 0.625
0.250 0.591 0.875
0.250 0.909 0.375
0.409 0.250 0.125
0.591 0.750 0.125
0.750 0.091 0.375
0.750 0.409 0.875
0.909 0.750 0.625
```

Summary:
**Symmetry**: I-42d (122)
**Crystal system**: tetragonal
**E_tot**: -6.502 eV per atom

Entry 11:
This record from Alexandria via LeMat-Bulk describes an optimized crystal structure of Li3BN3. The functional is GGA-PBE.

Cell and atoms, written as POSCAR:
```
Li3BN3
1.0
6.137 0.000 0.000
-3.069 5.315 0.000
0.000 0.000 4.218
Li B N
6 2 6
direct
0.103 0.342 0.250
0.239 0.897 0.250
0.342 0.239 0.750
0.658 0.761 0.250
0.761 0.103 0.750
0.897 0.658 0.750
0.333 0.667 0.750
0.667 0.333 0.250
0.117 0.413 0.750
0.296 0.883 0.750
0.413 0.296 0.250
0.587 0.704 0.750
0.704 0.117 0.250
0.883 0.587 0.250
```

Summary:
**Symmetry**: P6_3/m (176)
**Crystal system**: hexagonal
**E_tot**: -5.486 eV per atom

Entry 12:
This record from Alexandria via LeMat-Bulk describes an optimized crystal structure of Li2BN2. The functional is GGA-PBE.

Cell and atoms, written as POSCAR:
```
Li2BN2
1.0
4.983 -2.012 0.000
4.983 2.012 0.000
-3.298 0.000 4.796
Li B N
4 2 4
direct
0.004 0.004 0.209
0.349 0.349 0.864
0.651 0.651 0.136
0.996 0.996 0.791
0.381 0.381 0.376
0.619 0.619 0.624
0.211 0.211 0.196
0.493 0.493 0.691
0.507 0.507 0.309
0.789 0.789 0.804
```

Summary:
**Symmetry**: C2/m (12)
**Crystal system**: monoclinic
**E above lowest polymorph**: 0.064 eV per atom

Entry 13:
This record from Alexandria via LeMat-Bulk describes an optimized crystal structure of Li2BN. The functional is GGA-PBE.

Cell and atoms, written as POSCAR:
```
Li2BN
1.0
2.943 0.000 0.000
0.000 2.943 0.000
0.000 0.000 14.688
Li B N
8 4 4
direct
0.218 0.250 0.125
0.250 0.718 0.375
0.250 0.782 0.875
0.282 0.250 0.625
0.718 0.750 0.625
0.750 0.218 0.875
0.750 0.282 0.375
0.782 0.750 0.125
0.000 0.000 0.500
0.000 0.500 0.750
0.500 0.000 0.250
0.500 0.500 0.000
0.000 0.000 0.000
0.000 0.500 0.250
0.500 0.000 0.750
0.500 0.500 0.500
```

Summary:
**Symmetry**: I-42d (122)
**Crystal system**: tetragonal
**E above lowest polymorph**: 0.119 eV per atom

Entry 14:
This record from Alexandria via LeMat-Bulk describes an optimized crystal structure of LiBN2. The functional is GGA-PBE.

Cell and atoms, written as POSCAR:
```
LiBN2
1.0
2.939 0.000 0.000
-1.469 2.545 0.000
0.000 0.000 16.289
Li B N
3 3 6
direct
0.000 0.000 0.000
0.333 0.667 0.667
0.667 0.333 0.333
0.000 0.000 0.500
0.333 0.667 0.167
0.667 0.333 0.833
0.000 0.000 0.419
0.000 0.000 0.581
0.333 0.667 0.085
0.333 0.667 0.248
0.667 0.333 0.752
0.667 0.333 0.915
```

Summary:
**Symmetry**: R-3m (166)
**Crystal system**: trigonal
**E_tot**: -6.092 eV per atom

Entry 15:
This record from Alexandria via LeMat-Bulk describes an optimized crystal structure of LiBN3. The functional is GGA-PBE.

Cell and atoms, written as POSCAR:
```
LiBN3
1.0
3.464 0.000 0.000
0.000 3.464 0.000
0.000 0.000 3.464
Li B N
1 1 3
direct
0.000 0.000 0.000
0.500 0.500 0.500
0.000 0.000 0.500
0.000 0.500 0.000
0.500 0.000 0.000
```

Summary:
**Symmetry**: Pm-3m (221)
**Crystal system**: cubic
**E_tot**: -3.647 eV per atom

Entry 16:
This record from Alexandria via LeMat-Bulk describes an optimized crystal structure of LiBN3. The functional is GGA-PBE.

Cell and atoms, written as POSCAR:
```
LiBN3
1.0
3.320 0.000 0.000
0.000 3.320 0.000
0.000 0.000 3.320
Li B N
1 1 3
direct
0.000 0.000 0.000
0.500 0.500 0.500
0.000 0.500 0.500
0.500 0.000 0.500
0.500 0.500 0.000
```

Summary:
**Symmetry**: Pm-3m (221)
**Crystal system**: cubic
**E_tot**: -5.431 eV per atom

Entry 17:
This record from Alexandria via LeMat-Bulk describes an optimized crystal structure of Li2BN2. The functional is GGA-PBE.

Cell and atoms, written as POSCAR:
```
Li2BN2
1.0
5.227 -1.903 0.000
5.227 1.903 0.000
-3.007 0.000 5.180
Li B N
4 2 4
direct
0.032 0.032 0.315
0.348 0.348 0.195
0.652 0.652 0.805
0.968 0.968 0.685
0.312 0.312 0.761
0.688 0.688 0.239
0.174 0.174 0.712
0.462 0.462 0.849
0.538 0.538 0.151
0.826 0.826 0.288
```

Summary:
**Symmetry**: C2/m (12)
**Crystal system**: monoclinic
**E above lowest polymorph**: 0.000 eV per atom

Entry 18:
This record from Alexandria via LeMat-Bulk describes an optimized crystal structure of NaLi2BN2. The functional is GGA-PBE.

Cell and atoms, written as POSCAR:
```
NaLi2BN2
1.0
3.738 0.000 0.000
0.000 9.352 0.000
0.000 0.000 3.656
Na Li B N
2 4 2 4
direct
0.000 0.000 0.000
0.500 0.500 0.500
0.096 0.249 0.500
0.404 0.749 0.000
0.596 0.251 0.000
0.904 0.751 0.500
0.000 0.500 0.000
0.500 0.000 0.500
0.115 0.363 0.000
0.385 0.863 0.500
0.615 0.137 0.500
0.885 0.637 0.000
```

Summary:
**Symmetry**: Pnnm (58)
**Crystal system**: orthorhombic
**E_tot**: -5.497 eV per atom

Entry 19:
This record from Alexandria via LeMat-Bulk describes an optimized crystal structure of LiNdBN2. The functional is GGA-PBE.

Cell and atoms, written as POSCAR:
```
LiNdBN2
1.0
5.445 0.000 0.000
0.000 3.779 0.000
-1.431 0.000 5.861
Li Nd B N
2 2 2 4
direct
0.000 0.022 0.250
0.000 0.978 0.750
0.500 0.236 0.750
0.500 0.764 0.250
0.000 0.500 0.000
0.000 0.500 0.500
0.204 0.278 0.034
0.204 0.722 0.534
0.796 0.278 0.466
0.796 0.722 0.966
```

Summary:
**Symmetry**: P2/c (13)
**Crystal system**: monoclinic
**E_tot**: -6.891 eV per atom

Entry 20:
This record from Alexandria via LeMat-Bulk describes an optimized crystal structure of LiPmBN2. The functional is GGA-PBE.

Cell and atoms, written as POSCAR:
```
LiPmBN2
1.0
5.396 0.000 0.000
0.000 3.753 0.000
-1.428 0.000 5.839
Li Pm B N
2 2 2 4
direct
0.000 0.021 0.250
0.000 0.979 0.750
0.500 0.236 0.750
0.500 0.764 0.250
0.000 0.500 0.000
0.000 0.500 0.500
0.207 0.278 0.035
0.207 0.722 0.535
0.793 0.278 0.465
0.793 0.722 0.965
```

Summary:
**Symmetry**: P2/c (13)
**Crystal system**: monoclinic
**E_tot**: -6.900 eV per atom

Entry 21:
This record from Alexandria via LeMat-Bulk describes an optimized crystal structure of LiPm3B2N6. The functional is GGA-PBE.

Cell and atoms, written as POSCAR:
```
LiPm3B2N6
1.0
5.465 0.000 0.000
-2.732 4.733 0.000
0.000 0.000 6.042
Li Pm B N
1 3 2 6
direct
0.000 0.000 0.000
0.000 0.000 0.500
0.333 0.667 0.148
0.667 0.333 0.852
0.333 0.667 0.736
0.667 0.333 0.264
0.183 0.366 0.778
0.183 0.817 0.778
0.366 0.183 0.222
0.634 0.817 0.778
0.817 0.183 0.222
0.817 0.634 0.222
```

Summary:
**Symmetry**: P-3m1 (164)
**Crystal system**: trigonal
**E_tot**: -7.492 eV per atom

Entry 22:
This record from Alexandria via LeMat-Bulk describes an optimized crystal structure of RbLiBN2. The functional is GGA-PBE.

Cell and atoms, written as POSCAR:
```
RbLiBN2
1.0
4.630 0.000 0.000
0.000 4.630 0.000
0.000 0.000 4.774
Rb Li B N
1 1 1 2
direct
0.000 0.000 0.000
0.000 0.000 0.500
0.500 0.500 0.500
0.000 0.500 0.000
0.500 0.000 0.000
```

Summary:
**Symmetry**: P4/mmm (123)
**Crystal system**: tetragonal
**E_tot**: -2.244 eV per atom

Entry 23:
This record from Alexandria via LeMat-Bulk describes an optimized crystal structure of RbLi2BN2. The functional is GGA-PBE.

Cell and atoms, written as POSCAR:
```
RbLi2BN2
1.0
4.089 0.000 0.000
0.000 4.089 0.000
0.000 0.000 9.180
Rb Li B N
2 4 2 4
direct
0.000 0.000 0.000
0.500 0.500 0.500
0.000 0.500 0.250
0.000 0.500 0.750
0.500 0.000 0.250
0.500 0.000 0.750
0.000 0.000 0.500
0.500 0.500 0.000
0.000 0.000 0.353
0.000 0.000 0.647
0.500 0.500 0.147
0.500 0.500 0.853
```

Summary:
**Symmetry**: I4/mmm (139)
**Crystal system**: tetragonal
**E_tot**: -5.358 eV per atom

Entry 24:
This record from Alexandria via LeMat-Bulk describes an optimized crystal structure of LiBRhN2. The functional is GGA-PBE.

Cell and atoms, written as POSCAR:
```
LiBRhN2
1.0
3.419 0.000 0.000
0.000 3.419 0.000
0.000 0.000 4.020
Li B Rh N
1 1 1 2
direct
0.000 0.000 0.000
0.000 0.000 0.500
0.500 0.500 0.500
0.000 0.500 0.000
0.500 0.000 0.000
```

Summary:
**Symmetry**: P4/mmm (123)
**Crystal system**: tetragonal
**E_tot**: -4.610 eV per atom

Number 1: theoretical density 7.51 g cm⁻³, density of states at the Fermi level 0.993 states/eV per atom. Number 2: theoretical density 6.02 g cm⁻³, density of states at the Fermi level 0.521 states/eV per atom. Number 3: theoretical density 4.78 g cm⁻³, density of states at the Fermi level 1.200 states/eV per atom. Number 4: theoretical density 7.58 g cm⁻³, density of states at the Fermi level 0.943 states/eV per atom. Number 5: theoretical density 5.34 g cm⁻³, density of states at the Fermi level 1.133 states/eV per atom. Number 6: theoretical density 6.39 g cm⁻³, density of states at the Fermi level 0.660 states/eV per atom. Number 7: theoretical density 2.83 g cm⁻³, density of states at the Fermi level 0.187 states/eV per atom. Number 8: theoretical density 1.88 g cm⁻³, density of states at the Fermi level 0.000 states/eV per atom. Number 9: theoretical density 2.18 g cm⁻³, density of states at the Fermi level 0.004 states/eV per atom. Number 10: theoretical density 2.30 g cm⁻³, density of states at the Fermi level 0.053 states/eV per atom. Number 11: theoretical density 1.78 g cm⁻³, density of states at the Fermi level 0.101 states/eV per atom. Number 12: theoretical density 1.82 g cm⁻³, density of states at the Fermi level 0.248 states/eV per atom. Number 13: theoretical density 2.02 g cm⁻³, density of states at the Fermi level 0.309 states/eV per atom. Number 14: theoretical density 1.87 g cm⁻³, density of states at the Fermi level 0.258 states/eV per atom. Number 15: theoretical density 2.39 g cm⁻³, density of states at the Fermi level 0.531 states/eV per atom. Number 16: theoretical density 2.71 g cm⁻³, density of states at the Fermi level 0.595 states/eV per atom. Number 17: theoretical density 1.70 g cm⁻³, density of states at the Fermi level 0.000 states/eV per atom. Number 18: theoretical density 1.97 g cm⁻³, density of states at the Fermi level 0.000 states/eV per atom. Number 19: theoretical density 5.23 g cm⁻³, density of states at the Fermi level 0.249 states/eV per atom. Number 20: theoretical density 5.36 g cm⁻³, density of states at the Fermi level 0.251 states/eV per atom. Number 21: theoretical density 5.82 g cm⁻³, density of states at the Fermi level 0.427 states/eV per atom. Number 22: theoretical density 2.13 g cm⁻³, density of states at the Fermi level 0.468 states/eV per atom. Number 23: theoretical density 2.99 g cm⁻³, density of states at the Fermi level 0.000 states/eV per atom. Number 24: theoretical density 5.25 g cm⁻³, density of states at the Fermi level 0.636 states/eV per atom.